No. 1
DFT (GGA-PBE) results for crystalline Ac4Pm5 at its relaxed geometry.

Unit cell a=10.008 b=10.008 c=10.008 alpha=157.91 beta=110.16 gamma=74.26
Fractional coordinates of all 9 atoms:
Ac 0.006 0.837 0.168
Ac 0.331 0.163 0.168
Ac 0.669 0.837 0.832
Ac 0.994 0.163 0.832
Pm 0.000 0.500 0.500
Pm 0.336 0.836 0.500
Pm 0.343 0.500 0.843
Pm 0.657 0.500 0.157
Pm 0.664 0.164 0.500

Computed properties:
E_form in meV/atom: 39
Raw total energy in eV per atom: -4.43

***

No. 2
DFT (GGA-PBE) results for crystalline Ac3Pm5 at its relaxed geometry.

Unit cell a=3.815 b=3.815 c=20.978 alpha=90.00 beta=90.00 gamma=90.00
Fractional coordinates of all 8 atoms:
Ac 0.000 0.000 0.000
Ac 0.500 0.500 0.373
Ac 0.500 0.500 0.627
Pm 0.000 0.000 0.245
Pm 0.000 0.000 0.500
Pm 0.000 0.000 0.755
Pm 0.500 0.500 0.128
Pm 0.500 0.500 0.872

Computed properties:
E_form in meV/atom: 36
Raw total energy in eV per atom: -4.47

***

No. 3
DFT (GGA-PBE) results for crystalline AcPm4 at its relaxed geometry.

Unit cell a=6.037 b=6.037 c=6.037 alpha=90.00 beta=90.00 gamma=90.00
Fractional coordinates of all 5 atoms:
Ac 0.000 0.000 0.000
Pm 0.000 0.000 0.500
Pm 0.000 0.500 0.000
Pm 0.500 0.000 0.000
Pm 0.500 0.500 0.500

Computed properties:
E_form in meV/atom: 879
Raw total energy in eV per atom: -3.74

***

No. 4
DFT (GGA-PBE) results for crystalline AcPm6 at its relaxed geometry.

Unit cell a=7.130 b=7.130 c=7.130 alpha=109.47 beta=109.47 gamma=109.47
Fractional coordinates of all 7 atoms:
Ac 0.000 0.000 0.000
Pm 0.250 0.500 0.750
Pm 0.250 0.750 0.500
Pm 0.500 0.250 0.750
Pm 0.500 0.750 0.250
Pm 0.750 0.250 0.500
Pm 0.750 0.500 0.250

Computed properties:
E_form in meV/atom: 1057
Raw total energy in eV per atom: -3.60

***

No. 5
DFT (GGA-PBE) results for crystalline AcPm4 at its relaxed geometry.

Unit cell a=6.584 b=9.689 c=6.473 alpha=90.00 beta=116.09 gamma=90.00
Fractional coordinates of all 10 atoms:
Ac 0.000 0.123 0.250
Ac 0.000 0.877 0.750
Pm 0.256 0.447 0.515
Pm 0.256 0.553 0.015
Pm 0.339 0.188 0.931
Pm 0.339 0.812 0.431
Pm 0.661 0.188 0.569
Pm 0.661 0.812 0.069
Pm 0.744 0.447 0.985
Pm 0.744 0.553 0.485

Computed properties:
E_form in meV/atom: 164
Raw total energy in eV per atom: -4.46

***

No. 6
DFT (GGA-PBE) results for crystalline Ac7Pm2 at its relaxed geometry.

Unit cell a=6.802 b=6.802 c=9.567 alpha=90.00 beta=90.00 gamma=120.00
Fractional coordinates of all 9 atoms:
Ac 0.000 0.000 0.000
Ac 0.000 0.337 0.672
Ac 0.000 0.663 0.328
Ac 0.337 0.000 0.672
Ac 0.337 0.337 0.328
Ac 0.663 0.000 0.328
Ac 0.663 0.663 0.672
Pm 0.333 0.667 0.000
Pm 0.667 0.333 0.000

Computed properties:
E_form in meV/atom: 34
Raw total energy in eV per atom: -4.22

***

No. 7
DFT (GGA-PBE) results for crystalline AcPm7 at its relaxed geometry.

Unit cell a=7.377 b=7.377 c=7.377 alpha=60.00 beta=60.00 gamma=60.00
Fractional coordinates of all 8 atoms:
Ac 0.000 0.000 0.000
Pm 0.000 0.000 0.500
Pm 0.000 0.500 0.000
Pm 0.000 0.500 0.500
Pm 0.500 0.000 0.000
Pm 0.500 0.000 0.500
Pm 0.500 0.500 0.000
Pm 0.500 0.500 0.500

Computed properties:
E_form in meV/atom: 16
Raw total energy in eV per atom: -4.65

***

No. 8
DFT (GGA-PBE) results for crystalline AcPm at its relaxed geometry.

Unit cell a=4.923 b=4.923 c=4.923 alpha=60.00 beta=60.00 gamma=60.00
Fractional coordinates of all 2 atoms:
Ac 0.000 0.000 0.000
Pm 0.500 0.500 0.500

Computed properties:
E_form in meV/atom: 699
Raw total energy in eV per atom: -3.73

***

no.,DOS(E_F) (states/eV/atom),M_tot (μB per cell)
1,1.696,0.0
2,1.703,0.0
3,2.151,0.2
4,0.836,0.0
5,1.679,0.0
6,1.797,0.0
7,1.264,0.0
8,2.125,0.8